[1]
Below is Pr3Sm4ThS8 after structural relaxation, with properties calculated at the PBE level.

a = 8.082 Å, b = 8.114 Å, c = 8.082 Å
α = 119.87°, β = 120.00°, γ = 90.00°
Atoms (fractional coordinates):
1 S 0.245 0.244 0.994
2 Sm 0.000 0.000 0.000
3 Pr 0.000 0.500 0.500
4 S 0.753 0.759 0.506
5 S 0.250 0.756 0.501
6 Sm 0.000 0.000 0.500
7 S 0.750 0.244 0.994
8 Sm 0.500 0.000 0.500
9 S 0.750 0.244 0.499
10 Pr 0.500 0.500 0.500
11 Th 0.000 0.500 0.000
12 S 0.755 0.756 0.006
13 Pr 0.500 0.500 0.000
14 S 0.247 0.241 0.494
15 S 0.250 0.756 0.006
16 Sm 0.500 0.000 0.000

The value obtained for the formation energy (no corrections) is -1.993 eV/atom.

---

[2]
Below is AlInPtF2 after structural relaxation, with properties calculated at the PBE level.

a = 3.776 Å, b = 5.558 Å, c = 3.776 Å
α = 90.00°, β = 90.00°, γ = 90.00°
Atoms (fractional coordinates):
1 In 0.500 0.500 0.500
2 Al 0.000 0.000 0.000
3 F 0.000 0.000 0.500
4 Pt 0.000 0.500 0.000
5 F 0.500 0.000 0.000

The value obtained for the formation energy (no corrections) is -1.743 eV/atom.

---

[3]
Below is GdScNi after structural relaxation, with properties calculated at the PBE level.

a = 3.299 Å, b = 3.299 Å, c = 6.422 Å
α = 104.88°, β = 104.88°, γ = 90.00°
Each line ends with the local moment (μB).
Atoms (fractional coordinates):
1 Sc 0.293 0.293 0.586  0.01
2 Ni 0.681 0.681 0.363  0.03
3 Gd 0.026 0.026 0.051  7.13

As for the energy of formation: -0.248 eV per atom. The value obtained for the relative energy among the computed polymorphs is 0 meV/atom.

---

Values for calculated volume, Å³/f.u., ordered as above
375.49 79.25 65.12
Values for total DFT energy (no corrections), eV per atom, ordered as above
-6.596 -4.996 -8.979